VASP calculation (GGA-PBE) on a geometry-optimized CsMn2TlCl6 structure.

abc: 9.8874 9.8874 7.4549
angles: 98.98 98.98 87.26
Sites, in units of the cell vectors:
Cl: 0.4709 0.2902 0.8311
Cl: 0.3862 0.9088 0.6799
Cl: 0.7098 0.5291 0.6689
Cl: 0.1219 0.1713 0.5163
Cl: 0.2902 0.4709 0.3311
Cl: 0.8781 0.8287 0.4837
Cl: 0.9088 0.3862 0.1799
Cl: 0.5291 0.7098 0.1689
Cl: 0.6138 0.0912 0.3201
Cl: 0.0912 0.6138 0.8201
Cl: 0.1713 0.1219 0.0163
Cl: 0.8287 0.8781 0.9837
Mn: 0.6973 0.8729 0.2338
Mn: 0.8729 0.6973 0.7338
Mn: 0.1271 0.3027 0.2662
Mn: 0.3027 0.1271 0.7662
Tl: 0.4004 0.5996 0.7500
Tl: 0.5996 0.4004 0.2500
Cs: 0.8165 0.1835 0.7500
Cs: 0.1835 0.8165 0.2500

Computed properties:
SG: C2/c (15)
Spin magnetization (μB per atom): 1.000
Raw formation energy (meV/atom): -1275